A geometry-optimized InOsPt2 structure, computed with PBE.

## Properties
DFT formation energy = 1.22 kcal/mol of atoms
DOS at the Fermi energy = 0.97 states/eV per atom
Magnetization = 0.00 μB per formula unit

Cell: 2.813 4.668 4.973 Å, 90.00 90.00 90.00°
Space group Pmm2 (No. 25)
Inequivalent atoms, fractional coordinates:
In  0.000  0.000  0.000 (multiplicity 1)
Os  0.000  0.500  0.627 (multiplicity 1)
Pt  0.500  0.000  0.512 (multiplicity 1)
Pt  0.500  0.500  0.154 (multiplicity 1)